Compound: La2InCo
Source: Alexandria via LeMat-Bulk
Functional: PBE
Structure: relaxed

The structure in POSCAR format:
```
La2InCo
1.0
0.0000 3.5999 3.5999
3.5999 0.0000 3.5999
3.5999 3.5999 0.0000
La In Co
2 1 1
Direct
0.0000 0.0000 0.0000
0.2500 0.2500 0.2500
0.5000 0.5000 0.5000
0.7500 0.7500 0.7500
```

Calculated values
ρ (g/cm3): 8.04
Raw total energy (eV for the cell shown): -19.9
Total magnetic moment (Bohr magnetons per cell): 0.00
Formation energy (meV/atom): -44